# ZrPtW2

A relaxed ZrPtW2 crystal (PBE-GGA, Alexandria).

```
ZrPtW2
1.0
-2.442 -1.239 0.557
-0.102 -0.976 -2.617
4.277 -7.285 2.551
Pt W Zr
1 2 1
Direct
0.500 0.500 0.767
0.500 0.500 0.238
0.000 0.000 0.986
0.000 0.000 0.508
```

## Properties
ΔE to the lowest computed polymorph	87	meV per atom
crystal system	tetragonal
symmetry	No. 99
density	15.8	g/cm3
energy	-10.21	eV/atom
DOS at the Fermi energy	3.4	states/eV/cell
ΔH_f (0 K)	-84	meV per atom

# Ce2SmTl9

A relaxed Ce2SmTl9 crystal (PBE-GGA, Alexandria).

```
Ce2SmTl9
1.0
4.821 0.000 0.000
0.000 4.821 0.000
0.000 0.000 14.463
Tl Sm Ce
9 1 2
Direct
0.000 0.500 0.834
0.000 0.500 0.166
0.000 0.500 0.500
0.500 0.500 0.334
0.500 0.500 0.666
0.500 0.000 0.166
0.500 0.000 0.834
0.500 0.500 0.000
0.500 0.000 0.500
0.000 0.000 0.000
0.000 0.000 0.668
0.000 0.000 0.332
```

## Properties
crystal system	tetragonal
symmetry	No. 123
density	11.2	g/cm3
energy	-3.42	eV/atom
DOS at the Fermi energy	15.3	states/eV/cell
ΔH_f (0 K)	-259	meV per atom